Entry 1:
A relaxed structure of RbLaCl3, computed with PBE.

a b c (Å): 5.7518 5.7518 5.7518
angles (deg): 90.00 90.00 90.00
Space group Pm-3m (No. 221)
Asymmetric unit:
Rb 0.0000 0.0000 0.0000 (multiplicity 1)
La 0.5000 0.5000 0.5000 (multiplicity 1)
Cl 0.0000 0.0000 0.5000 (multiplicity 3)

DOS at the Fermi energy (states/eV/cell): 3.8
Formation energy (no corrections) (eV per atom): -1.023

Entry 2:
A relaxed structure of Re2SiTe, computed with PBE.

a b c (Å): 3.1399 3.1399 6.4110
angles (deg): 90.00 90.00 90.00
Space group P4/mmm (No. 123)
Asymmetric unit:
Re 0.0000 0.0000 0.2151 (multiplicity 2)
Si 0.5000 0.5000 0.0000 (multiplicity 1)
Te 0.5000 0.5000 0.5000 (multiplicity 1)

DOS at the Fermi energy (states/eV/cell): 3.1
Energy above the most stable polymorph in this dataset (eV/atom): 0.062
Formation energy (no corrections) (eV per atom): 0.365

Entry 3:
A relaxed structure of Co2Ni6Ir, computed with PBE.

a b c (Å): 11.5479 8.4147 4.3270
angles (deg): 90.00 99.99 90.00
Space group C2/c (No. 15)
Asymmetric unit:
Co 0.1639 0.1243 0.0895 (multiplicity 8)
Ni 0.0548 0.1211 0.5331 (multiplicity 8)
Ni 0.1199 0.3672 0.8024 (multiplicity 8)
Ni 0.2269 0.3756 0.3584 (multiplicity 8)
Ir 0.0000 0.3787 0.2500 (multiplicity 4)

DOS at the Fermi energy (states/eV/cell): 34.8
Energy above the most stable polymorph in this dataset (eV/atom): 0.070
Formation energy from the elements (meV per atom): 86

Copy entry 1 word for word.
A relaxed structure of RbLaCl3, computed with PBE.

a b c (Å): 5.7518 5.7518 5.7518
angles (deg): 90.00 90.00 90.00
Space group Pm-3m (No. 221)
Asymmetric unit:
Rb 0.0000 0.0000 0.0000 (multiplicity 1)
La 0.5000 0.5000 0.5000 (multiplicity 1)
Cl 0.0000 0.0000 0.5000 (multiplicity 3)

DOS at the Fermi energy (states/eV/cell): 3.8
Formation energy (no corrections) (eV per atom): -1.023